[1]
Entry from Alexandria: crystalline KPu2Cl11 at its relaxed geometry (PBE-GGA).

abc: 12.266 11.113 11.113
angles: 67.61 56.50 56.50
Each line ends with the local moment (μB).
Fractional positions:
K 0.750 0.750 0.750  0.00
K 0.250 0.250 0.250  0.00
Pu 0.654 0.656 0.344  3.72
Pu 0.346 0.344 0.656  3.72
Pu 0.846 0.156 0.844  3.72
Pu 0.154 0.844 0.156  3.72
Cl 0.630 0.685 0.572  -0.11
Cl 0.370 0.315 0.428  -0.11
Cl 0.112 0.572 0.685  -0.11
Cl 0.870 0.928 0.815  -0.11
Cl 0.888 0.428 0.315  -0.11
Cl 0.130 0.072 0.185  -0.11
Cl 0.388 0.815 0.928  -0.11
Cl 0.612 0.185 0.072  -0.11
Cl 0.500 0.500 0.500  -0.08
Cl 0.000 0.000 0.000  -0.08
Cl 0.794 0.798 0.202  -0.13
Cl 0.206 0.202 0.798  -0.13
Cl 0.706 0.298 0.702  -0.13
Cl 0.294 0.702 0.298  -0.13
Cl 0.423 0.886 0.371  -0.11
Cl 0.577 0.114 0.629  -0.11
Cl 0.319 0.371 0.886  -0.11
Cl 0.077 0.129 0.614  -0.11
Cl 0.681 0.629 0.114  -0.11
Cl 0.923 0.871 0.386  -0.11
Cl 0.181 0.614 0.129  -0.11
Cl 0.819 0.386 0.871  -0.11

Raw formation energy ... -20.38 eV/f.u.
Calculated total energy ... -70.5 eV per formula unit
M_tot ... 12.000 Bohr magnetons per cell



[2]
Entry from Alexandria: crystalline KPu3Cl8 at its relaxed geometry (PBE-GGA).

abc: 8.715 8.714 7.918
angles: 123.49 90.00 120.00
Each line ends with the local moment (μB).
Fractional positions:
K 0.000 0.000 0.000  0.00
Pu 0.500 0.000 0.000  5.56
Pu 0.500 0.500 0.000  5.56
Pu 0.000 0.500 0.000  5.56
Cl 0.255 0.510 0.767  -0.04
Cl 0.745 0.490 0.233  -0.04
Cl 0.282 0.025 0.768  -0.03
Cl 0.742 0.025 0.768  -0.03
Cl 0.742 0.485 0.768  -0.03
Cl 0.258 0.515 0.232  -0.03
Cl 0.258 0.975 0.232  -0.03
Cl 0.718 0.975 0.232  -0.03

Raw formation energy ... -22.50 eV/f.u.
Calculated total energy ... -81.4 eV per formula unit
M_tot ... 17.000 Bohr magnetons per cell



[3]
Entry from Alexandria: crystalline K2PuCl4 at its relaxed geometry (PBE-GGA).

abc: 9.263 9.263 11.717
angles: 90.00 90.00 90.00
Each line ends with the local moment (μB).
Fractional positions:
K 0.737 0.737 0.875  0.00
K 0.263 0.737 0.125  0.00
K 0.737 0.263 0.625  0.00
K 0.263 0.263 0.375  0.00
K 0.763 0.500 0.250  0.00
K 0.500 0.237 0.000  0.00
K 0.500 0.763 0.500  0.00
K 0.237 0.500 0.750  0.00
Cl 0.228 0.978 0.508  -0.03
Cl 0.772 0.978 0.492  -0.03
Cl 0.022 0.228 0.758  -0.03
Cl 0.772 0.022 0.008  -0.03
Cl 0.226 0.439 0.018  -0.01
Cl 0.561 0.226 0.268  -0.01
Cl 0.439 0.774 0.768  -0.01
Cl 0.226 0.561 0.482  -0.01
Cl 0.774 0.439 0.982  -0.01
Cl 0.774 0.561 0.518  -0.01
Cl 0.439 0.226 0.732  -0.01
Cl 0.561 0.774 0.232  -0.01
Cl 0.978 0.228 0.242  -0.03
Cl 0.228 0.022 0.992  -0.03
Cl 0.978 0.772 0.258  -0.03
Cl 0.022 0.772 0.742  -0.03
Pu 0.000 0.770 0.500  5.76
Pu 0.230 0.000 0.750  5.76
Pu 0.770 0.000 0.250  5.76
Pu 0.000 0.230 0.000  5.76

Raw formation energy ... -12.94 eV/f.u.
Calculated total energy ... -36.9 eV per formula unit
M_tot ... 23.993 Bohr magnetons per cell



[4]
Entry from Alexandria: crystalline K3Pu4Cl12 at its relaxed geometry (PBE-GGA).

abc: 9.453 9.453 9.453
angles: 109.47 109.47 109.47
Each line ends with the local moment (μB).
Fractional positions:
K 0.500 0.500 0.000  0.00
K 0.000 0.500 0.500  0.00
K 0.500 0.000 0.500  0.00
Pu 0.500 0.500 0.500  5.63
Pu 0.500 0.000 0.000  5.63
Pu 0.000 0.000 0.500  5.63
Pu 0.000 0.500 0.000  5.63
Cl 0.212 0.699 0.910  -0.03
Cl 0.788 0.301 0.090  -0.03
Cl 0.212 0.301 0.513  -0.03
Cl 0.301 0.090 0.788  -0.03
Cl 0.910 0.212 0.699  -0.03
Cl 0.487 0.788 0.699  -0.03
Cl 0.699 0.487 0.788  -0.03
Cl 0.090 0.788 0.301  -0.03
Cl 0.788 0.699 0.487  -0.03
Cl 0.699 0.910 0.212  -0.03
Cl 0.513 0.212 0.301  -0.03
Cl 0.301 0.513 0.212  -0.03

Raw formation energy ... -35.68 eV/f.u.
Calculated total energy ... -118.5 eV per formula unit
M_tot ... 23.000 Bohr magnetons per cell



[5]
Entry from Alexandria: crystalline KPu5Cl12 at its relaxed geometry (PBE-GGA).

abc: 7.367 7.369 12.766
angles: 95.32 100.70 60.01
Each line ends with the local moment (μB).
Fractional positions:
K 0.000 0.000 0.000  0.00
Pu 0.500 0.000 0.500  5.71
Pu 0.167 0.666 0.500  5.71
Pu 0.833 0.334 0.500  5.71
Pu 0.667 0.667 0.000  -5.50
Pu 0.333 0.333 0.000  -5.50
Cl 0.797 0.000 0.386  -0.04
Cl 0.203 0.000 0.614  -0.04
Cl 0.593 0.000 0.878  0.03
Cl 0.407 0.000 0.122  0.03
Cl 0.328 0.632 0.878  0.03
Cl 0.039 0.632 0.122  0.03
Cl 0.961 0.368 0.878  0.03
Cl 0.672 0.368 0.122  0.03
Cl 0.538 0.333 0.615  -0.04
Cl 0.870 0.667 0.615  -0.04
Cl 0.130 0.333 0.385  -0.04
Cl 0.462 0.667 0.385  -0.04

Raw formation energy ... -33.03 eV/f.u.
Calculated total energy ... -127.9 eV per formula unit
M_tot ... 6.589 Bohr magnetons per cell



[6]
Entry from Alexandria: crystalline KPuCl4 at its relaxed geometry (PBE-GGA).

abc: 6.896 8.100 8.250
angles: 113.67 108.23 102.37
Each line ends with the local moment (μB).
Fractional positions:
K 0.389 0.639 0.277  0.00
K 0.611 0.361 0.723  0.00
Pu 0.231 0.981 0.962  5.03
Pu 0.769 0.019 0.038  5.03
Cl 0.005 0.213 0.886  -0.03
Cl 0.799 0.740 0.683  -0.03
Cl 0.382 0.673 0.886  -0.03
Cl 0.384 0.943 0.683  -0.03
Cl 0.616 0.057 0.317  -0.03
Cl 0.618 0.327 0.114  -0.03
Cl 0.201 0.260 0.317  -0.03
Cl 0.995 0.787 0.114  -0.03

Raw formation energy ... -11.33 eV/f.u.
Calculated total energy ... -34.1 eV per formula unit
ΔE to the lowest computed polymorph ... 31.7 meV per atom
M_tot ... 10.000 Bohr magnetons per cell



[7]
Entry from Alexandria: crystalline KPuCl4 at its relaxed geometry (PBE-GGA).

abc: 7.389 10.077 10.422
angles: 90.00 90.00 90.00
Each line ends with the local moment (μB).
Fractional positions:
K 0.491 0.170 0.250  0.00
K 0.491 0.330 0.750  0.00
K 0.509 0.830 0.750  0.00
K 0.509 0.670 0.250  0.00
Pu 0.000 0.000 0.000  5.05
Pu 0.000 0.500 0.000  5.05
Pu 0.000 0.000 0.500  5.05
Pu 0.000 0.500 0.500  5.05
Cl 0.159 0.250 0.000  -0.03
Cl 0.159 0.250 0.500  -0.03
Cl 0.116 0.533 0.250  -0.04
Cl 0.116 0.967 0.750  -0.04
Cl 0.318 0.586 0.579  -0.03
Cl 0.318 0.914 0.079  -0.03
Cl 0.318 0.586 0.921  -0.03
Cl 0.318 0.914 0.421  -0.03
Cl 0.682 0.086 0.579  -0.03
Cl 0.682 0.414 0.079  -0.03
Cl 0.682 0.414 0.421  -0.03
Cl 0.682 0.086 0.921  -0.03
Cl 0.884 0.467 0.750  -0.04
Cl 0.884 0.033 0.250  -0.04
Cl 0.841 0.750 0.000  -0.03
Cl 0.841 0.750 0.500  -0.03

Raw formation energy ... -11.52 eV/f.u.
Calculated total energy ... -34.3 eV per formula unit
ΔE to the lowest computed polymorph ... 0.0 meV per atom
M_tot ... 20.000 Bohr magnetons per cell



[8]
Entry from Alexandria: crystalline K2PuCl8 at its relaxed geometry (PBE-GGA).

abc: 5.733 8.662 8.662
angles: 79.09 78.53 78.53
Each line ends with the local moment (μB).
Fractional positions:
K 0.107 0.292 0.292  0.00
K 0.893 0.708 0.708  0.00
Pu 0.000 0.000 0.000  3.91
Cl 0.803 0.081 0.753  -0.10
Cl 0.197 0.247 0.919  -0.10
Cl 0.670 0.173 0.173  -0.07
Cl 0.330 0.827 0.827  -0.07
Cl 0.803 0.753 0.081  -0.10
Cl 0.197 0.919 0.247  -0.10
Cl 0.289 0.497 0.497  0.11
Cl 0.711 0.503 0.503  0.11

Raw formation energy ... -15.74 eV/f.u.
Calculated total energy ... -47.0 eV per formula unit
M_tot ... 3.593 Bohr magnetons per cell



[9]
Entry from Alexandria: crystalline KRb2PuCl6 at its relaxed geometry (PBE-GGA).

abc: 7.742 8.188 11.112
angles: 90.00 89.91 90.00
Each line ends with the local moment (μB).
Fractional positions:
K 0.500 0.000 0.000  0.00
K 0.000 0.500 0.500  0.00
Rb 0.023 0.933 0.250  0.00
Rb 0.523 0.567 0.750  0.00
Rb 0.977 0.067 0.750  0.00
Rb 0.477 0.433 0.250  0.00
Pu 0.500 0.000 0.500  5.02
Pu 0.000 0.500 0.000  5.02
Cl 0.281 0.686 0.056  -0.02
Cl 0.781 0.814 0.556  -0.02
Cl 0.719 0.314 0.944  -0.02
Cl 0.219 0.186 0.444  -0.02
Cl 0.324 0.722 0.440  -0.02
Cl 0.824 0.778 0.940  -0.02
Cl 0.676 0.278 0.560  -0.02
Cl 0.176 0.222 0.060  -0.02
Cl 0.889 0.546 0.231  -0.02
Cl 0.389 0.954 0.731  -0.02
Cl 0.111 0.454 0.769  -0.02
Cl 0.611 0.046 0.269  -0.02

Raw formation energy ... -19.81 eV/f.u.
Calculated total energy ... -48.3 eV per formula unit
M_tot ... 10.000 Bohr magnetons per cell



[10]
Entry from Alexandria: crystalline KRb2PuCl8 at its relaxed geometry (PBE-GGA).

abc: 6.255 7.157 10.108
angles: 90.00 90.00 100.26
Each line ends with the local moment (μB).
Fractional positions:
K 0.000 0.000 0.500  0.00
Rb 0.500 0.500 0.751  0.00
Rb 0.500 0.500 0.249  0.00
Pu 0.000 0.000 0.000  4.05
Cl 0.089 0.781 0.186  -0.08
Cl 0.619 0.800 0.000  -0.08
Cl 0.910 0.219 0.186  -0.08
Cl 0.911 0.219 0.814  -0.08
Cl 0.381 0.200 0.000  -0.08
Cl 0.090 0.781 0.814  -0.08
Cl 0.523 0.777 0.500  0.20
Cl 0.477 0.223 0.500  0.20

Raw formation energy ... -19.92 eV/f.u.
Calculated total energy ... -52.1 eV per formula unit
M_tot ... 4.042 Bohr magnetons per cell



[11]
Entry from Alexandria: crystalline KRbPu2Cl8 at its relaxed geometry (PBE-GGA).

abc: 7.306 6.854 8.642
angles: 89.98 89.98 87.82
Each line ends with the local moment (μB).
Fractional positions:
K 0.000 0.000 0.000  0.00
Rb 0.000 0.000 0.500  0.00
Pu 0.500 0.500 0.752  5.04
Pu 0.500 0.500 0.248  5.04
Cl 0.201 0.733 0.242  -0.03
Cl 0.639 0.708 0.000  -0.04
Cl 0.799 0.267 0.242  -0.03
Cl 0.799 0.267 0.758  -0.03
Cl 0.361 0.292 0.000  -0.04
Cl 0.201 0.733 0.758  -0.03
Cl 0.634 0.706 0.500  -0.04
Cl 0.366 0.294 0.500  -0.04

Raw formation energy ... -23.13 eV/f.u.
Calculated total energy ... -68.6 eV per formula unit
M_tot ... 10.000 Bohr magnetons per cell



[12]
Entry from Alexandria: crystalline KPuScCl6 at its relaxed geometry (PBE-GGA).

abc: 6.945 6.945 13.807
angles: 90.00 90.00 120.00
Each line ends with the local moment (μB).
Fractional positions:
K 0.000 0.000 0.000  0.00
K 0.000 0.000 0.500  0.00
Pu 0.333 0.667 0.250  5.53
Pu 0.667 0.333 0.750  5.53
Sc 0.667 0.333 0.250  0.29
Sc 0.333 0.667 0.750  0.29
Cl 0.651 0.623 0.142  -0.02
Cl 0.972 0.349 0.142  -0.02
Cl 0.349 0.972 0.642  -0.02
Cl 0.028 0.651 0.858  -0.02
Cl 0.377 0.349 0.358  -0.02
Cl 0.972 0.623 0.358  -0.02
Cl 0.623 0.972 0.858  -0.02
Cl 0.651 0.028 0.358  -0.02
Cl 0.028 0.377 0.642  -0.02
Cl 0.377 0.028 0.142  -0.02
Cl 0.623 0.651 0.642  -0.02
Cl 0.349 0.377 0.858  -0.02

Raw formation energy ... -18.05 eV/f.u.
Calculated total energy ... -50.9 eV per formula unit
M_tot ... 12.001 Bohr magnetons per cell